VSb (PBE-GGA, relaxed); raw formation energy = 0.37 eV per atom
1.0
-5.7965 5.7965 1.5961
5.7965 -5.7965 1.5961
5.7965 5.7965 -1.5961
V Sb
4 4
direct
0.1758 0.2757 0.4515 V
0.2757 0.8242 0.1000 V
0.7243 0.1758 0.9000 V
0.8242 0.7243 0.5485 V
0.0532 0.7632 0.8164 Sb
0.2368 0.0532 0.2900 Sb
0.7632 0.9468 0.7100 Sb
0.9468 0.2368 0.1836 Sb

---

LiTi2Nb (PBE-GGA, relaxed); excess energy over the best structure of this formula in the dataset = 0.399 eV/atom; energy of formation from the pure elements = 0.597 eV per atom
1.0
-1.9053 1.9053 9.3820
1.9053 -1.9053 9.3820
1.9053 1.9053 -9.3820
Li Ti Nb
2 4 2
direct
0.0000 0.0000 0.0000 Li
0.7500 0.2500 0.5000 Li
0.1338 0.6250 0.0088 Ti
0.3750 0.3838 0.5088 Ti
0.6162 0.1250 0.9912 Ti
0.8750 0.8662 0.4912 Ti
0.2500 0.7500 0.5000 Nb
0.5000 0.5000 0.0000 Nb

---

PrGdSbI (PBE-GGA, relaxed); raw formation energy = -0.95 eV per atom
1.0
0.0000 3.8925 3.8925
3.8925 0.0000 3.8925
3.8925 3.8925 0.0000
Pr Gd Sb I
1 1 1 1
direct
0.0000 0.0000 0.0000 Pr
0.5000 0.5000 0.5000 Gd
0.7500 0.7500 0.7500 Sb
0.2500 0.2500 0.2500 I